Run P
# Zr2TaCr meta-GGA SCAN PBEsol geometry
# Space-group type: Pm
# N(E_F), states/eV/cell: 4.272
# Volume, Å³/f.u.: 72.2
data_Zr2TaCr
_cell_length_a 3.0243
_cell_length_b 4.1973
_cell_length_c 5.8362
_cell_angle_alpha 90.00
_cell_angle_beta 102.80
_cell_angle_gamma 90.00
_symmetry_space_group_name_H-M 'P 1'
_symmetry_Int_Tables_number 1
loop_
_symmetry_equiv_pos_as_xyz
'x,y,z'
loop_
_atom_site_label
_atom_site_type_symbol
_atom_site_fract_x
_atom_site_fract_y
_atom_site_fract_z
_atom_site_occupancy
Cr1 Cr 0.4961 0.0000 0.5185 1
Ta1 Ta 0.3068 0.5000 0.7213 1
Zr1 Zr 0.9949 0.0000 0.9824 1
Zr2 Zr 0.7022 0.5000 0.2777 1

---

Run Q
# Zr2TaCr meta-GGA SCAN PBEsol geometry
# Space-group type: C2/m
# N(E_F), states/eV/cell: 5.277
# Volume, Å³/f.u.: 72.3
data_Zr2TaCr
_cell_length_a 2.9509
_cell_length_b 5.3996
_cell_length_c 5.3996
_cell_angle_alpha 116.23
_cell_angle_beta 100.67
_cell_angle_gamma 100.67
_symmetry_space_group_name_H-M 'P 1'
_symmetry_Int_Tables_number 1
loop_
_symmetry_equiv_pos_as_xyz
'x,y,z'
loop_
_atom_site_label
_atom_site_type_symbol
_atom_site_fract_x
_atom_site_fract_y
_atom_site_fract_z
_atom_site_occupancy
Cr1 Cr 0.5000 0.5000 0.5000 1
Ta1 Ta 0.5000 0.0000 0.0000 1
Zr1 Zr 0.0000 0.0000 0.5000 1
Zr2 Zr 0.0000 0.5000 0.0000 1

---

The structure with the most favorable energy is run P; the runner-up is 35 meV/atom above it.

---

Run P
# Cr5Tc meta-GGA SCAN PBEsol geometry
# Space-group type: C2/m
# N(E_F), states/eV/cell: 4.390
# Volume, Å³/f.u.: 69.9
data_Cr5Tc
_cell_length_a 2.8534
_cell_length_b 4.7404
_cell_length_c 5.7161
_cell_angle_alpha 107.59
_cell_angle_beta 90.00
_cell_angle_gamma 107.52
_symmetry_space_group_name_H-M 'P 1'
_symmetry_Int_Tables_number 1
loop_
_symmetry_equiv_pos_as_xyz
'x,y,z'
loop_
_atom_site_label
_atom_site_type_symbol
_atom_site_fract_x
_atom_site_fract_y
_atom_site_fract_z
_atom_site_occupancy
Cr1 Cr 0.8307 0.6614 0.6723 1
Cr2 Cr 0.5000 0.0000 0.0000 1
Cr3 Cr 0.1693 0.3386 0.3277 1
Cr4 Cr 0.1701 0.3403 0.8410 1
Cr5 Cr 0.8299 0.6597 0.1590 1
Tc1 Tc 0.5000 0.0000 0.5000 1

---

Run Q
# Cr5Tc meta-GGA SCAN PBEsol geometry
# Space-group type: Cmmm
# N(E_F), states/eV/cell: 4.435
# Volume, Å³/f.u.: 70.0
data_Cr5Tc
_cell_length_a 2.8586
_cell_length_b 4.0536
_cell_length_c 6.2064
_cell_angle_alpha 90.00
_cell_angle_beta 103.31
_cell_angle_gamma 90.00
_symmetry_space_group_name_H-M 'P 1'
_symmetry_Int_Tables_number 1
loop_
_symmetry_equiv_pos_as_xyz
'x,y,z'
loop_
_atom_site_label
_atom_site_type_symbol
_atom_site_fract_x
_atom_site_fract_y
_atom_site_fract_z
_atom_site_occupancy
Cr1 Cr 0.1684 0.0000 0.3368 1
Cr2 Cr 0.8316 0.0000 0.6632 1
Cr3 Cr 0.5000 0.0000 0.0000 1
Cr4 Cr 0.6711 0.5000 0.3421 1
Cr5 Cr 0.3289 0.5000 0.6579 1
Tc1 Tc 0.0000 0.5000 0.0000 1

---

The structure with the most favorable energy is run P; the runner-up is 6 meV/atom above it.

---

Run P
# Cr2TcW meta-GGA SCAN PBEsol geometry
# Space-group type: Fm-3m
# N(E_F), states/eV/cell: 3.471
# Volume, Å³/f.u.: 52.1
data_Cr2TcW
_cell_length_a 4.1932
_cell_length_b 4.1932
_cell_length_c 4.1932
_cell_angle_alpha 60.00
_cell_angle_beta 60.00
_cell_angle_gamma 60.00
_symmetry_space_group_name_H-M 'P 1'
_symmetry_Int_Tables_number 1
loop_
_symmetry_equiv_pos_as_xyz
'x,y,z'
loop_
_atom_site_label
_atom_site_type_symbol
_atom_site_fract_x
_atom_site_fract_y
_atom_site_fract_z
_atom_site_occupancy
Cr1 Cr 0.2500 0.2500 0.2500 1
Cr2 Cr 0.7500 0.7500 0.7500 1
Tc1 Tc 0.0000 0.0000 0.0000 1
W1 W 0.5000 0.5000 0.5000 1

---

Run Q
# Cr2TcW meta-GGA SCAN PBEsol geometry
# Space-group type: Imm2
# N(E_F), states/eV/cell: 3.332
# Volume, Å³/f.u.: 52.3
data_Cr2TcW
_cell_length_a 2.9657
_cell_length_b 4.2089
_cell_length_c 4.9185
_cell_angle_alpha 115.33
_cell_angle_beta 107.55
_cell_angle_gamma 90.00
_symmetry_space_group_name_H-M 'P 1'
_symmetry_Int_Tables_number 1
loop_
_symmetry_equiv_pos_as_xyz
'x,y,z'
loop_
_atom_site_label
_atom_site_type_symbol
_atom_site_fract_x
_atom_site_fract_y
_atom_site_fract_z
_atom_site_occupancy
Cr1 Cr 0.9950 0.9950 0.9901 1
Cr2 Cr 0.2569 0.7569 0.5138 1
Tc1 Tc 0.5032 0.5032 0.0065 1
W1 W 0.7448 0.2448 0.4896 1

---

The structure with the most favorable energy is run Q; the runner-up is 9 meV/atom above it.

---

Run P
# Cr2TcW meta-GGA SCAN PBEsol geometry
# Space-group type: P4mm
# N(E_F), states/eV/cell: 2.671
# Volume, Å³/f.u.: 52.3
data_Cr2TcW
_cell_length_a 2.9591
_cell_length_b 2.9591
_cell_length_c 5.9779
_cell_angle_alpha 90.00
_cell_angle_beta 90.00
_cell_angle_gamma 90.00
_symmetry_space_group_name_H-M 'P 1'
_symmetry_Int_Tables_number 1
loop_
_symmetry_equiv_pos_as_xyz
'x,y,z'
loop_
_atom_site_label
_atom_site_type_symbol
_atom_site_fract_x
_atom_site_fract_y
_atom_site_fract_z
_atom_site_occupancy
Cr1 Cr 0.0000 0.0000 0.0134 1
Cr2 Cr 0.5000 0.5000 0.2347 1
Tc1 Tc 0.0000 0.0000 0.4893 1
W1 W 0.5000 0.5000 0.7626 1

---

Run Q
# Cr2TcW meta-GGA SCAN PBEsol geometry
# Space-group type: F-43m
# N(E_F), states/eV/cell: 2.324
# Volume, Å³/f.u.: 52.6
data_Cr2TcW
_cell_length_a 4.2064
_cell_length_b 4.2064
_cell_length_c 4.2064
_cell_angle_alpha 60.00
_cell_angle_beta 60.00
_cell_angle_gamma 60.00
_symmetry_space_group_name_H-M 'P 1'
_symmetry_Int_Tables_number 1
loop_
_symmetry_equiv_pos_as_xyz
'x,y,z'
loop_
_atom_site_label
_atom_site_type_symbol
_atom_site_fract_x
_atom_site_fract_y
_atom_site_fract_z
_atom_site_occupancy
Cr1 Cr 0.0000 0.0000 0.0000 1
Cr2 Cr 0.7500 0.7500 0.7500 1
Tc1 Tc 0.5000 0.5000 0.5000 1
W1 W 0.2500 0.2500 0.2500 1

---

The structure with the most favorable energy is run Q; the runner-up is 27 meV/atom above it.

---

Run P
# Cr2TcW meta-GGA SCAN PBEsol geometry
# Space-group type: P4/mmm
# N(E_F), states/eV/cell: 3.318
# Volume, Å³/f.u.: 52.2
data_Cr2TcW
_cell_length_a 2.9655
_cell_length_b 4.1942
_cell_length_c 4.1942
_cell_angle_alpha 90.00
_cell_angle_beta 90.00
_cell_angle_gamma 90.00
_symmetry_space_group_name_H-M 'P 1'
_symmetry_Int_Tables_number 1
loop_
_symmetry_equiv_pos_as_xyz
'x,y,z'
loop_
_atom_site_label
_atom_site_type_symbol
_atom_site_fract_x
_atom_site_fract_y
_atom_site_fract_z
_atom_site_occupancy
Cr1 Cr 0.0000 0.0000 0.5000 1
Cr2 Cr 0.0000 0.5000 0.0000 1
Tc1 Tc 0.5000 0.5000 0.5000 1
W1 W 0.5000 0.0000 0.0000 1

---

Run Q
# Cr2TcW meta-GGA SCAN PBEsol geometry
# Space-group type: Pmmm
# N(E_F), states/eV/cell: 2.948
# Volume, Å³/f.u.: 52.8
data_Cr2TcW
_cell_length_a 2.9925
_cell_length_b 4.1540
_cell_length_c 4.2449
_cell_angle_alpha 90.00
_cell_angle_beta 90.00
_cell_angle_gamma 90.00
_symmetry_space_group_name_H-M 'P 1'
_symmetry_Int_Tables_number 1
loop_
_symmetry_equiv_pos_as_xyz
'x,y,z'
loop_
_atom_site_label
_atom_site_type_symbol
_atom_site_fract_x
_atom_site_fract_y
_atom_site_fract_z
_atom_site_occupancy
Cr1 Cr 0.0000 0.0000 0.0000 1
Cr2 Cr 0.5000 0.0000 0.5000 1
Tc1 Tc 0.5000 0.5000 0.0000 1
W1 W 0.0000 0.5000 0.5000 1

---

The structure with the most favorable energy is run Q; the runner-up is 28 meV/atom above it.

---

Run P
# ZnCrTc meta-GGA SCAN PBEsol geometry
# Space-group type: P3m1
# N(E_F), states/eV/cell: 2.061
# Volume, Å³/f.u.: 38.4
data_ZnCrTc
_cell_length_a 2.5391
_cell_length_b 4.1789
_cell_length_c 4.1789
_cell_angle_alpha 120.00
_cell_angle_beta 90.00
_cell_angle_gamma 90.00
_symmetry_space_group_name_H-M 'P 1'
_symmetry_Int_Tables_number 1
loop_
_symmetry_equiv_pos_as_xyz
'x,y,z'
loop_
_atom_site_label
_atom_site_type_symbol
_atom_site_fract_x
_atom_site_fract_y
_atom_site_fract_z
_atom_site_occupancy
Cr1 Cr 0.9640 0.0000 0.0000 1
Tc1 Tc 0.7239 0.3333 0.6667 1
Zn1 Zn 0.3120 0.6667 0.3333 1

---

Run Q
# ZnCrTc meta-GGA SCAN PBEsol geometry
# Space-group type: I4mm
# N(E_F), states/eV/cell: 0.816
# Volume, Å³/f.u.: 38.9
data_ZnCrTc
_cell_length_a 3.0024
_cell_length_b 3.0024
_cell_length_c 4.8051
_cell_angle_alpha 108.20
_cell_angle_beta 108.20
_cell_angle_gamma 90.00
_symmetry_space_group_name_H-M 'P 1'
_symmetry_Int_Tables_number 1
loop_
_symmetry_equiv_pos_as_xyz
'x,y,z'
loop_
_atom_site_label
_atom_site_type_symbol
_atom_site_fract_x
_atom_site_fract_y
_atom_site_fract_z
_atom_site_occupancy
Cr1 Cr 0.0122 0.0122 0.0243 1
Zn1 Zn 0.3370 0.3370 0.6741 1
Tc1 Tc 0.6508 0.6508 0.3016 1

---

The structure with the most favorable energy is run Q; the runner-up is 51 meV/atom above it.